Entry from Alexandria via LeMat-Bulk: a PBEsol-optimized structure of SrTeRu2 (SCAN).

Total magnetization, μB/f.u.: 1.23
Calculated density, g/cm³: 7.4
Electronic total energy, eV/atom: -32.316

Cell lengths 4.4741, 4.4741, 5.9672 Å; angles 67.98, 67.98, 60.00 degrees
Atoms (fractional coordinates):
Ru1 0.3093 0.3093 0.0720
Ru2 0.6907 0.6907 0.9280
Sr1 0.5000 0.5000 0.5000
Te1 0.0000 0.0000 0.0000